The following is a GGA-PBE calculation of a relaxed structure of UCr4Se8, from Alexandria via LeMat-Bulk.

Values from the calculation:
Crystal system: trigonal
Raw formation energy (kJ per mole of atoms): -62
Energy (eV/atom): -6.6138
Size of the total moment (μB per formula unit): 7.97
Fermi-level density of states (states/eV/cell): 8.27

Structure (CIF):
```
data_UCr4Se8
_chemical_formula_sum 'U1 Cr4 Se8'
_symmetry_space_group_name_H-M 'P 1'
_symmetry_Int_Tables_number 1
_cell_length_a 7.600
_cell_length_b 7.600
_cell_length_c 7.600
_cell_angle_alpha 57.76
_cell_angle_beta 57.76
_cell_angle_gamma 57.76
loop_
_symmetry_equiv_pos_as_xyz
'x,y,z'
loop_
_atom_site_label
_atom_site_type_symbol
_atom_site_fract_x
_atom_site_fract_y
_atom_site_fract_z
U1 U 0.000 0.000 0.000
Cr1 Cr 0.000 0.000 0.500
Cr2 Cr 0.000 0.500 0.000
Cr3 Cr 0.500 0.000 0.000
Cr4 Cr 0.500 0.500 0.500
Se1 Se 0.240 0.240 0.240
Se2 Se 0.251 0.738 0.738
Se3 Se 0.262 0.262 0.749
Se4 Se 0.262 0.749 0.262
Se5 Se 0.738 0.251 0.738
Se6 Se 0.738 0.738 0.251
Se7 Se 0.749 0.262 0.262
Se8 Se 0.760 0.760 0.760
```